DFT (PBE) results for a relaxed structure of Zr4Os3Ru.

Properties
Its density of states at the Fermi level is 3.041 states/eV/f.u. Its volume is 17.7 A^3/atom. Its total magnetic moment is 0.0 Bohr magnetons per cell. For the calculated formation energy, the calculation gives -0.550 eV/atom. The crystal system is tetragonal.

a b c (Å): 3.283 3.283 13.128
angles (deg): 90.00 90.00 90.00
Fractional positions:
Zr 0.000 0.000 0.876
Zr 0.000 0.000 0.124
Zr 0.000 0.000 0.375
Zr 0.000 0.000 0.625
Os 0.500 0.500 0.249
Os 0.500 0.500 0.500
Os 0.500 0.500 0.751
Ru 0.500 0.500 0.000